Entry 1:
Computed, not measured: a geometry-optimized Sm8Te3CS3 structure at the GGA-PBE level of DFT.

Geometry as POSCAR:
```
Sm8Te3CS3
1.0
8.174 0.001 0.001
-4.086 7.083 -0.026
0.000 -4.696 7.199
Sm Te C S
8 3 1 3
direct
0.266 0.532 0.297
0.734 0.468 0.703
0.783 0.566 0.305
0.217 0.434 0.695
0.783 0.022 0.305
0.217 0.978 0.695
0.239 0.022 0.305
0.761 0.978 0.695
0.000 0.000 0.000
0.000 0.500 0.000
0.500 0.500 0.000
0.000 0.000 0.500
0.500 0.000 0.500
0.500 0.500 0.500
0.000 0.500 0.500
```

## Properties
- DOS(E_F) (states/eV/cell) = 7.6

=====

Entry 2:
Computed, not measured: a geometry-optimized Mg2NiIr structure at the GGA-PBE level of DFT.

Geometry as POSCAR:
```
Mg2NiIr
1.0
-6.466 2.692 -5.049
-7.859 0.723 -3.502
-7.544 3.384 -2.485
Ir Mg Ni
1 2 1
direct
0.750 0.750 0.750
0.998 0.998 0.998
0.502 0.502 0.502
0.250 0.250 0.250
```

## Properties
- DOS(E_F) (states/eV/cell) = 3.7

=====

Entry 3:
Computed, not measured: a geometry-optimized ReRh3Se structure at the GGA-PBE level of DFT.

Geometry as POSCAR:
```
ReRh3Se
1.0
-1.116 4.136 -1.961
-2.393 1.194 3.879
3.902 1.915 1.817
Re Rh Se
1 3 1
direct
0.000 0.000 0.000
0.000 0.500 0.000
0.000 0.000 0.500
0.500 0.000 0.000
0.500 0.500 0.500
```

## Properties
- DOS(E_F) (states/eV/cell) = 5.6

=====

DFT total energy? In order: -5.991 -4.534 -6.340 eV per atom.